Arrangement w

## Li2ErTl (PBE-GGA)

Data for an optimized crystal structure of Li2ErTl.

a b c (Å): 6.8122 6.8122 6.8122
angles (deg): 90.00 90.00 90.00
With the nearest neighbours (Å) after each atom.
Space group Fm-3m (No. 225)
Symmetry-distinct sites (fractional):
Li (0.2500, 0.2500, 0.2500) (multiplicity 8)  4 Tl 2.95, 4 Er 2.95
Er (0.0000, 0.0000, 0.0000) (multiplicity 4)  8 Li 2.95
Tl (0.0000, 0.0000, 0.5000) (multiplicity 4)  8 Li 2.95

Computed properties:
Fermi-level density of states = 4.91 states/eV/cell

Arrangement x

## Li2ErTl (PBE-GGA)

Data for an optimized crystal structure of Li2ErTl.

a b c (Å): 7.0508 7.0508 7.0508
angles (deg): 90.00 90.00 90.00
With the nearest neighbours (Å) after each atom.
Space group F-43m (No. 216)
Symmetry-distinct sites (fractional):
Li (0.0000, 0.0000, 0.0000) (multiplicity 4)  4 Tl 3.05, 4 Li 3.05
Li (0.2500, 0.2500, 0.2500) (multiplicity 4)  4 Li 3.05, 4 Er 3.05
Er (0.0000, 0.0000, 0.5000) (multiplicity 4)  4 Tl 3.05, 4 Li 3.05
Tl (0.2500, 0.2500, 0.7500) (multiplicity 4)  4 Li 3.05, 4 Er 3.05

Computed properties:
Fermi-level density of states = 5.58 states/eV/cell

Tell me which of them is the least stable. Sure, it is arrangement x.

Arrangement w

## Li2ErTl (PBE-GGA)

Data for an optimized crystal structure of Li2ErTl.

a b c (Å): 4.5140 4.5140 4.5242
angles (deg): 90.00 90.00 90.00
With the nearest neighbours (Å) after each atom.
Space group P4/mmm (No. 123)
Symmetry-distinct sites (fractional):
Li (0.0000, 0.5000, 0.0000) (multiplicity 2)  4 Li 3.19, 4 Tl 3.20, 4 Er 3.20
Er (0.0000, 0.0000, 0.5000) (multiplicity 1)  4 Tl 3.19, 8 Li 3.20
Tl (0.5000, 0.5000, 0.5000) (multiplicity 1)  4 Er 3.19, 8 Li 3.20

Computed properties:
Fermi-level density of states = 3.53 states/eV/cell

Arrangement x

## Li2ErTl (PBE-GGA)

Data for an optimized crystal structure of Li2ErTl.

a b c (Å): 3.6948 3.6948 6.6209
angles (deg): 90.00 90.00 90.00
With the nearest neighbours (Å) after each atom.
Space group P4/mmm (No. 123)
Symmetry-distinct sites (fractional):
Li (0.0000, 0.0000, 0.2138) (multiplicity 2)  1 Li 2.83, 4 Tl 2.97
Er (0.5000, 0.5000, 0.5000) (multiplicity 1)  8 Li 3.23, 2 Tl 3.31
Tl (0.5000, 0.5000, 0.0000) (multiplicity 1)  8 Li 2.97, 2 Er 3.31

Computed properties:
Fermi-level density of states = 2.38 states/eV/cell

Tell me which of them is the least stable. Sure, it is arrangement x.